[1]
Computed, not measured: an optimized crystal structure of Li2LaW at the PBE level of DFT.

a = 4.9594 Å, b = 4.9594 Å, c = 4.9594 Å
α = 60.00°, β = 60.00°, γ = 60.00°
Site moments in Bohr magnetons follow the coordinates.
Atoms (fractional coordinates):
La 0.5000 0.5000 0.5000  0.24
Li 0.0000 0.0000 0.0000  0.00
Li 0.2500 0.2500 0.2500  -0.01
W 0.7500 0.7500 0.7500  1.98

- Crystal system: cubic
- Total DFT energy (no corrections): -0.3402 Ry per atom
- ΔE to the lowest computed polymorph: 1.19 eV per formula unit
- Total magnetic moment: 2.98 Bohr magnetons per cell
- Formation energy: 308 kJ/mol of formula units


[2]
Computed, not measured: an optimized crystal structure of ThZrZn4 at the PBE level of DFT.

a = 4.0177 Å, b = 4.0177 Å, c = 8.0630 Å
α = 104.43°, β = 104.43°, γ = 90.00°
Atoms (fractional coordinates):
Zn 0.8274 0.3274 0.6549
Zn 0.5865 0.5865 0.1729
Zn 0.4135 0.4135 0.8271
Zn 0.6726 0.1726 0.3451
Th 0.0000 0.0000 0.0000
Zr 0.2500 0.7500 0.5000

- Crystal system: tetragonal
- Total DFT energy (no corrections): -0.2673 Ry per atom
- ΔE to the lowest computed polymorph: 0.67 eV per formula unit
- Total magnetic moment: 0.00 Bohr magnetons per cell
- Formation energy: -73 kJ/mol of formula units


[3]
Computed, not measured: an optimized crystal structure of BeNb2RhW at the PBE level of DFT.

a = 4.5297 Å, b = 3.8537 Å, c = 4.5297 Å
α = 90.00°, β = 90.00°, γ = 90.00°
Atoms (fractional coordinates):
Nb 0.0000 0.0000 0.5000
Nb 0.5000 0.0000 0.0000
Be 0.0000 0.0000 0.0000
Rh 0.0000 0.5000 0.0000
W 0.5000 0.5000 0.5000

- Crystal system: tetragonal
- Total DFT energy (no corrections): -0.6192 Ry per atom
- Total magnetic moment: 0.00 Bohr magnetons per cell
- Formation energy: 197 kJ/mol of formula units


[4]
Computed, not measured: an optimized crystal structure of La15Ho4Al at the PBE level of DFT.

a = 5.1464 Å, b = 5.1464 Å, c = 25.9047 Å
α = 90.00°, β = 90.00°, γ = 90.00°
Atoms (fractional coordinates):
La 0.5000 0.5000 0.1964
La 0.0000 0.5000 0.5000
La 0.5000 0.0000 0.2974
La 0.5000 0.0000 0.5000
La 0.5000 0.5000 0.8036
La 0.5000 0.5000 0.3980
La 0.5000 0.0000 0.0940
La 0.0000 0.5000 0.9060
La 0.0000 0.5000 0.0940
La 0.5000 0.5000 0.0000
La 0.0000 0.5000 0.2974
La 0.0000 0.5000 0.7026
La 0.5000 0.0000 0.7026
La 0.5000 0.0000 0.9060
La 0.5000 0.5000 0.6020
Ho 0.0000 0.0000 0.8040
Ho 0.0000 0.0000 0.1960
Ho 0.0000 0.0000 0.3989
Ho 0.0000 0.0000 0.6011
Al 0.0000 0.0000 0.0000

- Crystal system: tetragonal
- Total DFT energy (no corrections): -0.3542 Ry per atom
- Total magnetic moment: 0.00 Bohr magnetons per cell
- Formation energy: -40 kJ/mol of formula units


[5]
Computed, not measured: an optimized crystal structure of LiPaPdAu at the PBE level of DFT.

a = 4.8193 Å, b = 4.8193 Å, c = 4.8193 Å
α = 60.00°, β = 60.00°, γ = 60.00°
Atoms (fractional coordinates):
Pa 0.7500 0.7500 0.7500
Pd 0.5000 0.5000 0.5000
Au 0.0000 0.0000 0.0000
Li 0.2500 0.2500 0.2500

- Crystal system: cubic
- Total DFT energy (no corrections): -0.3927 Ry per atom
- Total magnetic moment: 0.00 Bohr magnetons per cell
- Formation energy: -144 kJ/mol of formula units


[6]
Computed, not measured: an optimized crystal structure of PrBe2Pt5 at the PBE level of DFT.

a = 3.9272 Å, b = 6.2003 Å, c = 6.2003 Å
α = 65.47°, β = 71.54°, γ = 71.54°
Atoms (fractional coordinates):
Pr 0.0000 0.0000 0.0000
Pt 0.6520 0.1440 0.5520
Pt 0.3480 0.4480 0.8560
Pt 0.3480 0.8560 0.4480
Pt 0.6520 0.5520 0.1440
Pt 0.0000 0.5000 0.5000
Be 0.2321 0.2679 0.2679
Be 0.7679 0.7321 0.7321

- Crystal system: orthorhombic
- Total DFT energy (no corrections): -0.4495 Ry per atom
- Total magnetic moment: 0.00 Bohr magnetons per cell
- Formation energy: -626 kJ/mol of formula units


Look up the total DFT energy (no corrections) of the fifth one.
-0.3927 Ry per atom


The lowest total DFT energy (no corrections) belongs to which entry?
BeNb2RhW


What is the formula in the second record?
ThZrZn4